w | Rb2LiBr after structural relaxation, computed with GGA-PBE.

Theoretical density   2.3 Mg/m³

Cell lengths 9.063, 9.063, 9.063 Å; angles 90.00, 90.00, 90.00 degrees
Space group Fm-3m (No. 225)
Inequivalent atoms, fractional coordinates:
Rb 0.250 0.250 0.250 [8 per cell]
Li 0.000 0.000 0.000 [4 per cell]
Br 0.000 0.000 0.500 [4 per cell]



x | Rb2LiBr after structural relaxation, computed with GGA-PBE.

Theoretical density   2.4 Mg/m³

Cell lengths 4.300, 4.300, 9.610 Å; angles 90.00, 90.00, 90.00 degrees
Space group P4/mmm (No. 123)
Inequivalent atoms, fractional coordinates:
Rb 0.000 0.000 0.211 [2 per cell]
Li 0.500 0.500 0.500 [1 per cell]
Br 0.500 0.500 0.000 [1 per cell]



Most favorable first, least favorable last: x, w



w | Rb2LiBr3 after structural relaxation, computed with GGA-PBE.

Theoretical density   3.2 Mg/m³

Cell lengths 9.744, 4.670, 18.779 Å; angles 90.00, 90.00, 90.00 degrees
Space group Pnma (No. 62)
Inequivalent atoms, fractional coordinates:
Rb 0.083 0.250 0.213 [4 per cell]
Rb 0.246 0.250 0.953 [4 per cell]
Li 0.132 0.250 0.633 [4 per cell]
Br 0.012 0.750 0.602 [4 per cell]
Br 0.134 0.750 0.073 [4 per cell]
Br 0.177 0.250 0.767 [4 per cell]



x | Rb2LiBr3 after structural relaxation, computed with GGA-PBE.

Theoretical density   3.2 Mg/m³

Cell lengths 14.627, 7.022, 8.981 Å; angles 90.00, 107.90, 90.00 degrees
Space group C2/c (No. 15)
Inequivalent atoms, fractional coordinates:
Rb 0.174 0.001 0.087 [8 per cell]
Li 0.000 0.431 0.750 [4 per cell]
Br 0.000 0.072 0.750 [4 per cell]
Br 0.136 0.499 0.568 [8 per cell]



Most favorable first, least favorable last: w, x



w | Rb2LiRuBr6 after structural relaxation, computed with GGA-PBE.

Theoretical density   4.1 Mg/m³

Cell lengths 7.5199, 7.5199, 37.8071 Å; angles 90.00, 90.00, 120.00 degrees
Space group R-3m (No. 166, hexagonal axes)
Inequivalent atoms, fractional coordinates:
Rb 0.0000 0.0000 0.1238 [6 per cell]
Rb 0.0000 0.0000 0.2972 [6 per cell]
Li 0.0000 0.0000 0.4192 [6 per cell]
Ru 0.0000 0.0000 0.0000 [3 per cell]
Ru 0.0000 0.0000 0.5000 [3 per cell]
Br 0.0151 0.5076 0.1277 [18 per cell]
Br 0.0163 0.5081 0.7058 [18 per cell]



x | Rb2LiRuBr6 after structural relaxation, computed with GGA-PBE.

Theoretical density   4.2 Mg/m³

Cell lengths 10.617, 10.617, 10.617 Å; angles 90.00, 90.00, 90.00 degrees
Space group Fm-3m (No. 225)
Inequivalent atoms, fractional coordinates:
Rb 0.250 0.250 0.250 [8 per cell]
Li 0.000 0.000 0.000 [4 per cell]
Ru 0.000 0.000 0.500 [4 per cell]
Br 0.000 0.000 0.261 [24 per cell]



Most favorable first, least favorable last: w, x



w | RbLi2SBr after structural relaxation, computed with GGA-PBE.

Theoretical density   2.6 Mg/m³

Cell lengths 7.442, 4.336, 8.667 Å; angles 90.00, 106.27, 90.00 degrees
Space group P2_1/m (No. 11)
Inequivalent atoms, fractional coordinates:
Rb 0.063 0.250 0.302 [2 per cell]
Li 0.471 0.250 0.595 [2 per cell]
Li 0.478 0.750 0.847 [2 per cell]
S 0.318 0.750 0.575 [2 per cell]
Br 0.309 0.750 0.073 [2 per cell]



x | RbLi2SBr after structural relaxation, computed with GGA-PBE.

Theoretical density   2.1 Mg/m³

Cell lengths 4.851, 4.851, 7.046 Å; angles 90.00, 90.00, 90.00 degrees
Space group P4/mmm (No. 123)
Inequivalent atoms, fractional coordinates:
Rb 0.000 0.000 0.000 [1 per cell]
Li 0.000 0.500 0.500 [2 per cell]
S 0.500 0.500 0.000 [1 per cell]
Br 0.500 0.500 0.500 [1 per cell]



Most favorable first, least favorable last: w, x



w | RbLiSe2Br after structural relaxation, computed with GGA-PBE.

Theoretical density   2.1 Mg/m³

Cell lengths 6.325, 6.325, 6.385 Å; angles 90.00, 90.00, 90.00 degrees
Space group P4/mmm (No. 123)
Inequivalent atoms, fractional coordinates:
Rb 0.000 0.000 0.000 [1 per cell]
Li 0.500 0.500 0.500 [1 per cell]
Se 0.000 0.500 0.000 [2 per cell]
Br 0.000 0.000 0.500 [1 per cell]



x | RbLiSe2Br after structural relaxation, computed with GGA-PBE.

Theoretical density   3.7 Mg/m³

Cell lengths 4.757, 4.757, 6.520 Å; angles 90.00, 90.00, 90.00 degrees
Space group P4/mmm (No. 123)
Inequivalent atoms, fractional coordinates:
Rb 0.000 0.000 0.000 [1 per cell]
Li 0.500 0.500 0.500 [1 per cell]
Se 0.000 0.500 0.500 [2 per cell]
Br 0.500 0.500 0.000 [1 per cell]



Most favorable first, least favorable last: x, w



w | LiRe3Br after structural relaxation, computed with GGA-PBE.

Theoretical density   13.8 Mg/m³

Cell lengths 4.267, 4.267, 4.267 Å; angles 90.00, 90.00, 90.00 degrees
Space group Pm-3m (No. 221)
Inequivalent atoms, fractional coordinates:
Li 0.000 0.000 0.000 [1 per cell]
Re 0.000 0.000 0.500 [3 per cell]
Br 0.500 0.500 0.500 [1 per cell]



x | LiRe3Br after structural relaxation, computed with GGA-PBE.

Theoretical density   11.2 Mg/m³

Cell lengths 4.568, 4.568, 4.568 Å; angles 90.00, 90.00, 90.00 degrees
Space group Pm-3m (No. 221)
Inequivalent atoms, fractional coordinates:
Li 0.000 0.000 0.000 [1 per cell]
Re 0.000 0.500 0.500 [3 per cell]
Br 0.500 0.500 0.500 [1 per cell]



Most favorable first, least favorable last: w, x